(1)
Entry from Alexandria via LeMat-Bulk: a relaxed structure of FeRhPb2 (PBE-GGA).

POSCAR file:
```
FeRhPb2
1.0
3.2641 0.0000 0.0000
0.0000 3.2641 0.0000
0.0000 0.0000 8.1359
Fe Rh Pb
1 1 2
Cartesian
0.0000 0.0000 0.0000
1.6320 1.6320 6.9664
0.0000 0.0000 5.0443
1.6320 1.6320 1.8863
```

Computed properties:
calculated volume: 21.67 Å³ per atom
total magnetization: 3.40 μB/cell
symmetry: P4mm, No. 99

=====

(2)
Entry from Alexandria via LeMat-Bulk: a relaxed structure of FeRhPb2 (PBE-GGA).

POSCAR file:
```
FeRhPb2
1.0
4.3033 -1.6231 0.0000
4.3033 1.6231 0.0000
-1.3029 0.0000 5.7651
Fe Rh Pb
1 1 2
Cartesian
0.0000 0.0000 0.0000
3.6518 0.0000 2.8826
1.1673 0.0000 4.3214
6.1363 0.0000 1.4437
```

Computed properties:
calculated volume: 20.13 Å³ per atom
total magnetization: 2.85 μB/cell
symmetry: C2/m, No. 12

=====

Most stable = (1)

=====

(1)
Entry from Alexandria via LeMat-Bulk: a relaxed structure of FeRhPb2 (PBE-GGA).

POSCAR file:
```
FeRhPb2
1.0
-2.2070 2.2070 9.1404
2.2070 -2.2070 9.1404
2.2070 2.2070 -9.1404
Fe Rh Pb
2 2 4
Cartesian
0.0000 0.0000 0.0000
0.0000 2.2070 4.5702
2.2070 0.0000 4.5702
0.0000 0.0000 9.1404
3.3106 1.0995 -2.2851
1.0995 1.1035 2.2851
-1.1035 1.1075 6.8553
1.1075 1.1035 11.4255
```

Computed properties:
calculated volume: 22.26 Å³ per atom
total magnetization: 5.77 μB/cell
symmetry: I-42d, No. 122

=====

(2)
Entry from Alexandria via LeMat-Bulk: a relaxed structure of FeRhPb2 (PBE-GGA).

POSCAR file:
```
FeRhPb2
1.0
1.6567 0.9565 8.4913
-1.6567 0.9565 8.4913
0.0000 -1.9129 8.4913
Fe Rh Pb
1 1 2
Cartesian
0.0000 0.0000 0.0000
0.0000 0.0000 12.7369
0.0000 0.0000 6.3320
0.0000 0.0000 19.1418
```

Computed properties:
calculated volume: 20.18 Å³ per atom
total magnetization: 2.78 μB/cell
symmetry: R-3m, No. 166

=====

Most stable = (2)

=====

(1)
Entry from Alexandria via LeMat-Bulk: a relaxed structure of FeRhPb2 (PBE-GGA).

POSCAR file:
```
FeRhPb2
1.0
0.0000 3.3789 3.3789
3.3789 0.0000 3.3789
3.3789 3.3789 0.0000
Fe Rh Pb
1 1 2
Cartesian
0.0000 0.0000 0.0000
3.3789 3.3789 3.3789
1.6894 1.6894 1.6894
5.0683 5.0683 5.0683
```

Computed properties:
calculated volume: 19.29 Å³ per atom
total magnetization: 2.44 μB/cell
symmetry: Fm-3m, No. 225

=====

(2)
Entry from Alexandria via LeMat-Bulk: a relaxed structure of FeRhPb2 (PBE-GGA).

POSCAR file:
```
FeRhPb2
1.0
3.8185 0.0000 0.0000
0.0000 4.2221 0.0000
-1.9006 0.0000 5.0996
Fe Rh Pb
1 1 2
Cartesian
0.0000 0.0000 0.0000
1.9181 2.1111 3.7260
0.0074 0.0000 2.8744
1.9122 2.1111 0.7884
```

Computed properties:
calculated volume: 20.55 Å³ per atom
total magnetization: 3.01 μB/cell
symmetry: Pm, No. 6

=====

Most stable = (2)